Entry 1:
# LaDy2Pt (PBE-GGA, optimized geometry)
data_LaDy2Pt
_cell_length_a 3.9355
_cell_length_b 3.9355
_cell_length_c 9.6947
_cell_angle_alpha 78.29
_cell_angle_beta 78.29
_cell_angle_gamma 60.00
_symmetry_space_group_name_H-M 'P 1'
_symmetry_Int_Tables_number 1
loop_
_symmetry_equiv_pos_as_xyz
'x,y,z'
loop_
_atom_site_label
_atom_site_fract_x
_atom_site_fract_y
_atom_site_fract_z
_atom_site_occupancy
La1 0.5000 0.5000 0.5000 1
Pt1 0.0000 0.0000 0.0000 1
Dy1 0.2755 0.2755 0.1735 1
Dy2 0.7245 0.7245 0.8265 1
# energy of formation: -2.1 eV/f.u.
# space group: R-3m (166)
# crystal system: trigonal
# uncorrected energy: -22.27 eV for the cell shown

Entry 2:
# SmGdZnCo (PBE-GGA, optimized geometry)
data_SmGdZnCo
_cell_length_a 4.9637
_cell_length_b 4.9637
_cell_length_c 4.9637
_cell_angle_alpha 60.00
_cell_angle_beta 60.00
_cell_angle_gamma 60.00
_symmetry_space_group_name_H-M 'P 1'
_symmetry_Int_Tables_number 1
loop_
_symmetry_equiv_pos_as_xyz
'x,y,z'
loop_
_atom_site_label
_atom_site_fract_x
_atom_site_fract_y
_atom_site_fract_z
_atom_site_occupancy
Co1 0.5000 0.5000 0.5000 1
Sm1 0.2500 0.2500 0.2500 1
Zn1 0.0000 0.0000 0.0000 1
Gd1 0.7500 0.7500 0.7500 1
# energy of formation: -0.7 eV/f.u.
# space group: F-43m (216)
# crystal system: cubic
# uncorrected energy: -27.87 eV for the cell shown

Entry 3:
# Ni2TeMo (PBE-GGA, optimized geometry)
data_Ni2TeMo
_cell_length_a 8.5490
_cell_length_b 8.5490
_cell_length_c 8.5490
_cell_angle_alpha 19.90
_cell_angle_beta 19.90
_cell_angle_gamma 19.90
_symmetry_space_group_name_H-M 'P 1'
_symmetry_Int_Tables_number 1
loop_
_symmetry_equiv_pos_as_xyz
'x,y,z'
loop_
_atom_site_label
_atom_site_fract_x
_atom_site_fract_y
_atom_site_fract_z
_atom_site_occupancy
Ni1 0.4960 0.4960 0.4960 1
Ni2 0.0040 0.0040 0.0040 1
Mo1 0.7500 0.7500 0.7500 1
Te1 0.2500 0.2500 0.2500 1
# E_form (uncorrected): 0.44 eV per atom
# space group: R-3m (166)
# crystal system: trigonal
# uncorrected energy: -23.78 eV for the cell shown

Entry 4:
# RbTi3Br (PBE-GGA, optimized geometry)
data_RbTi3Br
_cell_length_a 4.8682
_cell_length_b 4.8682
_cell_length_c 4.8682
_cell_angle_alpha 90.00
_cell_angle_beta 90.00
_cell_angle_gamma 90.00
_symmetry_space_group_name_H-M 'P 1'
_symmetry_Int_Tables_number 1
loop_
_symmetry_equiv_pos_as_xyz
'x,y,z'
loop_
_atom_site_label
_atom_site_fract_x
_atom_site_fract_y
_atom_site_fract_z
_atom_site_occupancy
Ti1 0.5000 0.0000 0.0000 1
Ti2 0.0000 0.5000 0.0000 1
Ti3 0.0000 0.0000 0.5000 1
Br1 0.5000 0.5000 0.5000 1
Rb1 0.0000 0.0000 0.0000 1
# E_form (uncorrected): 2.21 eV per atom
# space group: Pm-3m (221)
# crystal system: cubic
# uncorrected energy: -15.30 eV for the cell shown

Entry 5:
# SrY2SnN (PBE-GGA, optimized geometry)
data_SrY2SnN
_cell_length_a 4.8384
_cell_length_b 4.8384
_cell_length_c 5.1598
_cell_angle_alpha 90.00
_cell_angle_beta 90.00
_cell_angle_gamma 90.00
_symmetry_space_group_name_H-M 'P 1'
_symmetry_Int_Tables_number 1
loop_
_symmetry_equiv_pos_as_xyz
'x,y,z'
loop_
_atom_site_label
_atom_site_fract_x
_atom_site_fract_y
_atom_site_fract_z
_atom_site_occupancy
Y1 0.5000 0.0000 0.0000 1
Y2 0.0000 0.5000 0.0000 1
Sr1 0.0000 0.0000 0.5000 1
N1 0.0000 0.0000 0.0000 1
Sn1 0.5000 0.5000 0.5000 1
# E_form (uncorrected): -0.93 eV per atom
# space group: P4/mmm (123)
# crystal system: tetragonal
# uncorrected energy: -31.59 eV for the cell shown

Entry 6:
# TiGeN2O (PBE-GGA, optimized geometry)
data_TiGeN2O
_cell_length_a 3.7645
_cell_length_b 3.7645
_cell_length_c 3.6446
_cell_angle_alpha 90.00
_cell_angle_beta 90.00
_cell_angle_gamma 90.00
_symmetry_space_group_name_H-M 'P 1'
_symmetry_Int_Tables_number 1
loop_
_symmetry_equiv_pos_as_xyz
'x,y,z'
loop_
_atom_site_label
_atom_site_fract_x
_atom_site_fract_y
_atom_site_fract_z
_atom_site_occupancy
O1 0.0000 0.0000 0.5000 1
Ti1 0.5000 0.5000 0.5000 1
N1 0.5000 0.0000 0.0000 1
N2 0.0000 0.5000 0.0000 1
Ge1 0.0000 0.0000 0.0000 1
# E_form (uncorrected): -0.05 eV per atom
# space group: P4/mmm (123)
# crystal system: tetragonal
# uncorrected energy: -34.38 eV for the cell shown

Entry 7:
# BaMgGeRh (PBE-GGA, optimized geometry)
data_BaMgGeRh
_cell_length_a 4.2273
_cell_length_b 4.2273
_cell_length_c 12.6902
_cell_angle_alpha 90.00
_cell_angle_beta 90.00
_cell_angle_gamma 90.00
_symmetry_space_group_name_H-M 'P 1'
_symmetry_Int_Tables_number 1
loop_
_symmetry_equiv_pos_as_xyz
'x,y,z'
loop_
_atom_site_label
_atom_site_fract_x
_atom_site_fract_y
_atom_site_fract_z
_atom_site_occupancy
Mg1 0.2500 0.7500 0.5000 1
Mg2 0.7500 0.2500 0.5000 1
Rh1 0.7500 0.2500 0.0000 1
Rh2 0.2500 0.7500 0.0000 1
Ba1 0.7500 0.7500 0.2307 1
Ba2 0.2500 0.2500 0.7693 1
Ge1 0.2500 0.2500 0.1018 1
Ge2 0.7500 0.7500 0.8982 1
# energy of formation: -1.8 eV/f.u.
# space group: P4/nmm (129)
# crystal system: tetragonal
# uncorrected energy: -34.57 eV for the cell shown

Entry 8:
# SrCa6Ag2 (PBE-GGA, optimized geometry)
data_SrCa6Ag2
_cell_length_a 4.1190
_cell_length_b 12.3781
_cell_length_c 7.0101
_cell_angle_alpha 73.54
_cell_angle_beta 107.09
_cell_angle_gamma 90.00
_symmetry_space_group_name_H-M 'P 1'
_symmetry_Int_Tables_number 1
loop_
_symmetry_equiv_pos_as_xyz
'x,y,z'
loop_
_atom_site_label
_atom_site_fract_x
_atom_site_fract_y
_atom_site_fract_z
_atom_site_occupancy
Ag1 0.6896 0.7067 0.3792 1
Ag2 0.3104 0.2933 0.6208 1
Ca1 0.3459 0.5489 0.6919 1
Ca2 0.2583 0.8632 0.5166 1
Ca3 0.9897 0.2849 0.9794 1
Ca4 0.6541 0.4511 0.3081 1
Ca5 0.7417 0.1368 0.4834 1
Ca6 0.0103 0.7151 0.0206 1
Sr1 0.5000 0.0000 0.0000 1
# energy of formation: -1.5 eV/f.u.
# space group: C2/m (12)
# crystal system: monoclinic
# uncorrected energy: -20.85 eV for the cell shown